LiHg2Sb | GGA-PBE | relaxed

Unit cell a=3.298 b=5.707 c=10.448 alpha=102.25 beta=90.00 gamma=90.00
Positions (direct):
Li  0.250  0.750  0.500
Li  0.750  0.250  0.500
Hg  0.750  0.839  0.293
Hg  0.250  0.338  0.293
Hg  0.750  0.662  0.707
Hg  0.250  0.161  0.707
Sb  0.250  0.258  0.000
Sb  0.750  0.742  0.000

Properties
Symmetry   P2_1/m (11)
Uncorrected formation energy   -0.119 eV/atom



LiHg4Sb | GGA-PBE | relaxed

Unit cell a=6.017 b=6.017 c=6.017 alpha=60.00 beta=60.00 gamma=60.00
Positions (direct):
Li  0.750  0.750  0.750
Hg  0.875  0.375  0.375
Hg  0.375  0.375  0.875
Hg  0.375  0.875  0.375
Hg  0.375  0.375  0.375
Sb  0.000  0.000  0.000

Properties
Symmetry   F-43m (216)
Uncorrected formation energy   0.099 eV/atom



Li4Hg3Sb2 | GGA-PBE | relaxed

Unit cell a=4.855 b=4.556 c=10.306 alpha=78.20 beta=73.56 gamma=60.64
Positions (direct):
Li  0.691  0.710  0.898
Li  0.920  0.886  0.296
Li  0.080  0.114  0.704
Li  0.309  0.290  0.102
Hg  0.218  0.180  0.414
Hg  0.000  0.000  0.000
Hg  0.782  0.820  0.586
Sb  0.388  0.416  0.795
Sb  0.612  0.584  0.205

Properties
Symmetry   P-1 (2)
Uncorrected formation energy   -0.362 eV/atom



Li2HgSb2 | GGA-PBE | relaxed

Unit cell a=8.965 b=8.965 c=2.958 alpha=90.00 beta=90.00 gamma=90.00
Positions (direct):
Sb  0.144  0.644  0.500
Sb  0.644  0.856  0.500
Sb  0.856  0.356  0.500
Sb  0.356  0.144  0.500
Hg  0.000  0.000  0.000
Hg  0.500  0.500  0.000
Li  0.351  0.851  0.000
Li  0.851  0.649  0.000
Li  0.649  0.149  0.000
Li  0.149  0.351  0.000

Properties
Symmetry   P4/mbm (127)
Uncorrected formation energy   -0.217 eV/atom
Distance to the lowest polymorph of the same formula   79 meV/atom



LiHg3Sb | GGA-PBE | relaxed

Unit cell a=4.814 b=13.213 c=8.233 alpha=101.49 beta=90.00 gamma=90.00
Positions (direct):
Li  0.993  0.812  0.272
Li  0.007  0.188  0.728
Li  0.493  0.188  0.228
Li  0.507  0.812  0.772
Hg  0.777  0.985  0.627
Hg  0.223  0.015  0.373
Hg  0.277  0.015  0.873
Hg  0.723  0.985  0.127
Hg  0.489  0.781  0.426
Hg  0.511  0.219  0.574
Hg  0.989  0.219  0.074
Hg  0.011  0.781  0.926
Hg  0.006  0.554  0.185
Hg  0.994  0.446  0.815
Hg  0.506  0.446  0.315
Hg  0.494  0.554  0.685
Sb  0.996  0.708  0.570
Sb  0.004  0.292  0.430
Sb  0.496  0.292  0.930
Sb  0.504  0.708  0.070

Properties
Symmetry   P2_1/c (14)
Uncorrected formation energy   -0.116 eV/atom
Distance to the lowest polymorph of the same formula   0 meV/atom



Li6HgSb2 | GGA-PBE | relaxed

Unit cell a=4.751 b=6.419 c=8.156 alpha=113.17 beta=106.37 gamma=90.00
Positions (direct):
Li  0.190  0.463  0.375
Li  0.810  0.088  0.625
Li  0.810  0.537  0.625
Li  0.500  0.284  0.000
Li  0.190  0.912  0.375
Li  0.500  0.716  0.000
Hg  0.000  0.000  0.000
Sb  0.665  0.662  0.324
Sb  0.335  0.338  0.676

Properties
Symmetry   C2/m (12)
Uncorrected formation energy   -0.419 eV/atom
Distance to the lowest polymorph of the same formula   96 meV/atom



LiHgSb | GGA-PBE | relaxed

Unit cell a=8.574 b=8.299 c=7.353 alpha=66.11 beta=62.25 gamma=51.64
Positions (direct):
Sb  0.474  0.525  0.950
Sb  0.300  0.199  0.776
Sb  0.051  0.950  0.525
Sb  0.725  0.776  0.199
Hg  0.388  0.360  0.362
Hg  0.888  0.360  0.862
Hg  0.890  0.362  0.360
Hg  0.890  0.862  0.360
Li  0.120  0.594  0.879
Li  0.371  0.843  0.130
Li  0.407  0.879  0.594
Li  0.656  0.130  0.843

Properties
Symmetry   Fdd2 (43)
Uncorrected formation energy   -0.223 eV/atom



Li3HgSb | GGA-PBE | relaxed

Unit cell a=8.323 b=8.323 c=8.323 alpha=41.67 beta=41.67 gamma=41.67
Positions (direct):
Li  0.223  0.224  0.725
Li  0.224  0.725  0.223
Li  0.275  0.777  0.776
Li  0.776  0.275  0.777
Li  0.777  0.776  0.275
Li  0.725  0.223  0.224
Hg  0.154  0.154  0.154
Hg  0.846  0.846  0.846
Sb  0.286  0.286  0.286
Sb  0.714  0.714  0.714

Properties
Symmetry   R-3m (166)
Uncorrected formation energy   -0.315 eV/atom
Distance to the lowest polymorph of the same formula   166 meV/atom



Li4Hg2Sb | GGA-PBE | relaxed

Unit cell a=5.828 b=5.828 c=5.828 alpha=114.05 beta=107.23 gamma=107.23
Positions (direct):
Li  0.500  0.000  0.000
Li  0.500  0.500  0.500
Li  0.000  0.000  0.500
Li  0.000  0.500  0.000
Hg  0.500  0.500  0.000
Hg  0.500  0.000  0.500
Sb  0.000  0.000  0.000

Properties
Symmetry   I4/mmm (139)
Uncorrected formation energy   -0.335 eV/atom
Distance to the lowest polymorph of the same formula   0 meV/atom



Li2HgSb | GGA-PBE | relaxed

Unit cell a=3.285 b=3.285 c=9.252 alpha=79.89 beta=79.89 gamma=60.82
Positions (direct):
Li  0.083  0.083  0.750
Li  0.249  0.249  0.249
Hg  0.502  0.502  0.500
Sb  0.666  0.666  0.000

Properties
Symmetry   Cm (8)
Uncorrected formation energy   -0.316 eV/atom



LiHg2Sb | GGA-PBE | relaxed

Unit cell a=5.435 b=5.435 c=3.478 alpha=90.00 beta=90.00 gamma=113.50
Positions (direct):
Hg  0.000  0.000  0.000
Hg  0.500  0.500  0.000
Li  0.500  0.000  0.500
Sb  0.000  0.500  0.500

Properties
Symmetry   Cmmm (65)
Uncorrected formation energy   -0.073 eV/atom



LiHg3Sb | GGA-PBE | relaxed

Unit cell a=5.020 b=5.020 c=5.020 alpha=90.00 beta=90.00 gamma=90.00
Positions (direct):
Sb  0.500  0.500  0.500
Hg  0.000  0.500  0.000
Hg  0.000  0.000  0.500
Hg  0.500  0.000  0.000
Li  0.000  0.000  0.000

Properties
Symmetry   Pm-3m (221)
Uncorrected formation energy   0.190 eV/atom
Distance to the lowest polymorph of the same formula   307 meV/atom



Li12Hg5Sb3 | GGA-PBE | relaxed

Unit cell a=13.726 b=13.726 c=13.726 alpha=109.47 beta=109.47 gamma=109.47
Positions (direct):
Sb  0.750  0.375  0.125
Sb  0.875  0.750  0.125
Sb  0.375  0.750  0.625
Sb  0.250  0.125  0.375
Sb  0.875  0.125  0.250
Sb  0.375  0.625  0.250
Sb  0.625  0.375  0.750
Sb  0.125  0.875  0.750
Sb  0.750  0.875  0.625
Sb  0.625  0.250  0.375
Sb  0.125  0.250  0.875
Sb  0.250  0.625  0.875
Hg  0.125  0.375  0.250
Hg  0.000  0.500  0.000
Hg  0.000  0.000  0.000
Hg  0.375  0.250  0.125
Hg  0.500  0.000  0.500
Hg  0.500  0.500  0.000
Hg  0.125  0.750  0.375
Hg  0.750  0.125  0.875
Hg  0.750  0.625  0.375
Hg  0.375  0.125  0.750
Hg  0.625  0.875  0.250
Hg  0.500  0.500  0.500
Hg  0.500  0.000  0.000
Hg  0.000  0.000  0.500
Hg  0.250  0.375  0.625
Hg  0.250  0.875  0.125
Hg  0.000  0.500  0.500
Hg  0.875  0.250  0.625
Hg  0.625  0.750  0.875
Hg  0.875  0.625  0.750
Li  0.735  0.147  0.070
Li  0.334  0.570  0.422
Li  0.930  0.353  0.265
Li  0.570  0.235  0.147
Li  0.588  0.735  0.666
Li  0.930  0.578  0.166
Li  0.334  0.765  0.412
Li  0.078  0.912  0.147
Li  0.578  0.930  0.666
Li  0.735  0.588  0.166
Li  0.765  0.430  0.353
Li  0.834  0.922  0.070
Li  0.147  0.735  0.570
Li  0.353  0.422  0.088
Li  0.088  0.922  0.353
Li  0.412  0.147  0.578
Li  0.088  0.166  0.235
Li  0.430  0.666  0.078
Li  0.834  0.912  0.265
Li  0.147  0.412  0.078
Li  0.353  0.930  0.765
Li  0.578  0.647  0.412
Li  0.922  0.834  0.570
Li  0.765  0.334  0.912
Li  0.422  0.353  0.588
Li  0.078  0.166  0.430
Li  0.235  0.666  0.088
Li  0.166  0.088  0.735
Li  0.647  0.070  0.235
Li  0.853  0.588  0.922
Li  0.570  0.334  0.922
Li  0.588  0.853  0.422
Li  0.912  0.834  0.765
Li  0.912  0.078  0.647
Li  0.853  0.265  0.430
Li  0.166  0.078  0.930
Li  0.647  0.578  0.912
Li  0.422  0.070  0.334
Li  0.265  0.412  0.834
Li  0.235  0.570  0.647
Li  0.922  0.088  0.853
Li  0.666  0.235  0.588
Li  0.430  0.765  0.853
Li  0.070  0.422  0.834
Li  0.412  0.265  0.334
Li  0.070  0.647  0.735
Li  0.666  0.430  0.578
Li  0.265  0.853  0.930

Properties
Symmetry   Ia-3d (230)
Uncorrected formation energy   -0.247 eV/atom



Li2HgSb2 | GGA-PBE | relaxed

Unit cell a=8.690 b=8.690 c=3.069 alpha=90.00 beta=90.00 gamma=90.00
Positions (direct):
Sb  0.325  0.825  0.000
Sb  0.825  0.675  0.000
Sb  0.675  0.175  0.000
Sb  0.175  0.325  0.000
Hg  0.000  0.000  0.000
Hg  0.500  0.500  0.000
Li  0.122  0.622  0.500
Li  0.622  0.878  0.500
Li  0.878  0.378  0.500
Li  0.378  0.122  0.500

Properties
Symmetry   P4/mbm (127)
Uncorrected formation energy   -0.265 eV/atom
Distance to the lowest polymorph of the same formula   30 meV/atom



LiHg2Sb | GGA-PBE | relaxed

Unit cell a=5.463 b=5.463 c=5.463 alpha=129.98 beta=129.98 gamma=73.44
Positions (direct):
Sb  0.750  0.250  0.500
Hg  0.000  0.000  0.000
Hg  0.500  0.500  0.000
Li  0.250  0.750  0.500

Properties
Symmetry   I4/mmm (139)
Uncorrected formation energy   -0.123 eV/atom



LiHg2Sb | GGA-PBE | relaxed

Unit cell a=6.083 b=6.083 c=5.169 alpha=79.89 beta=79.89 gamma=30.93
Positions (direct):
Hg  0.042  0.042  0.920
Hg  0.805  0.805  0.801
Li  0.465  0.465  0.435
Sb  0.189  0.189  0.344

Properties
Symmetry   Cm (8)
Uncorrected formation energy   -0.136 eV/atom



Li2HgSb | GGA-PBE | relaxed

Unit cell a=4.973 b=4.973 c=4.973 alpha=60.00 beta=60.00 gamma=60.00
Positions (direct):
Hg  0.500  0.500  0.500
Li  0.000  0.000  0.000
Li  0.750  0.750  0.750
Sb  0.250  0.250  0.250

Properties
Symmetry   F-43m (216)
Uncorrected formation energy   -0.262 eV/atom



Li2HgSb2 | GGA-PBE | relaxed

Unit cell a=5.327 b=5.327 c=5.986 alpha=72.96 beta=72.96 gamma=48.64
Positions (direct):
Li  0.638  0.138  0.218
Li  0.362  0.862  0.782
Hg  0.000  0.500  0.000
Sb  0.322  0.822  0.320
Sb  0.678  0.178  0.680

Properties
Symmetry   C2/m (12)
Uncorrected formation energy   -0.295 eV/atom
Distance to the lowest polymorph of the same formula   0 meV/atom



Li2HgSb | GGA-PBE | relaxed

Unit cell a=3.385 b=4.339 c=5.776 alpha=90.00 beta=90.00 gamma=90.00
Positions (direct):
Sb  0.000  0.000  0.461
Hg  0.500  0.500  0.799
Li  0.000  0.000  0.965
Li  0.500  0.500  0.275

Properties
Symmetry   Pmm2 (25)
Uncorrected formation energy   -0.371 eV/atom



LiHg2Sb | GGA-PBE | relaxed

Unit cell a=4.529 b=4.529 c=4.468 alpha=90.00 beta=90.00 gamma=90.00
Positions (direct):
Sb  0.000  0.500  0.500
Hg  0.000  0.000  0.000
Hg  0.500  0.500  0.000
Li  0.500  0.000  0.500

Properties
Symmetry   P4/mmm (123)
Uncorrected formation energy   -0.122 eV/atom